Model i:
! CdCoSeO (PBE with a Hubbard U, relaxed); values from VASP
! **Space group**: P2_12_12_1 (19)
&SYSTEM
  ibrav = 0, nat = 16, ntyp = 4
/
ATOMIC_SPECIES
O 16.00 O.upf
Se 78.96 Se.upf
Cd 112.41 Cd.upf
Co 58.93 Co.upf
ATOMIC_POSITIONS crystal
O 0.975 0.739 0.383
Se 0.503 0.117 0.355
Cd 0.849 0.417 0.313
O 0.475 0.761 0.617
Co 0.153 0.699 0.598
Co 0.847 0.199 0.902
Cd 0.651 0.583 0.813
Se 0.497 0.617 0.145
Cd 0.151 0.917 0.187
Cd 0.349 0.083 0.687
Se 0.003 0.383 0.645
O 0.025 0.239 0.117
Se 0.997 0.883 0.855
O 0.525 0.261 0.883
Co 0.653 0.801 0.402
Co 0.347 0.301 0.098
CELL_PARAMETERS angstrom
5.826 0.000 0.000
0.000 7.172 0.000
0.000 0.000 7.539

=====

Model ii:
! CdCoSeO (PBE with a Hubbard U, relaxed); values from VASP
! **Space group**: Pca2_1 (29)
&SYSTEM
  ibrav = 0, nat = 16, ntyp = 4
/
ATOMIC_SPECIES
Cd 112.41 Cd.upf
O 16.00 O.upf
Se 78.96 Se.upf
Co 58.93 Co.upf
ATOMIC_POSITIONS crystal
Cd 0.885 0.894 0.957
O 0.428 0.118 0.604
Se 0.916 0.367 0.651
Cd 0.615 0.894 0.457
Co 0.942 0.343 0.038
O 0.572 0.882 0.104
Co 0.058 0.657 0.538
Se 0.584 0.367 0.151
Co 0.558 0.343 0.538
Co 0.442 0.657 0.038
O 0.072 0.118 0.104
O 0.928 0.882 0.604
Se 0.416 0.633 0.651
Se 0.084 0.633 0.151
Cd 0.385 0.106 0.957
Cd 0.115 0.106 0.457
CELL_PARAMETERS angstrom
6.519 0.000 0.000
0.000 7.458 0.000
0.000 0.000 6.290

=====

Q: Which of them is the most stable? A: model ii.